DFT (PBE) results for a relaxed MgZnRu2 crystal.

Computed properties:
The value obtained for the energy of formation from the pure elements is -0.05 eV/atom. For the total energy, the calculation gives -5.403 eV per atom. As for the symmetry: P4mm (99).

a b c (Å): 2.943 2.943 6.912
angles (deg): 90.00 90.00 90.00
Positions (direct):
Mg  0.000  0.000  0.000
Zn  0.500  0.500  0.721
Ru  0.000  0.000  0.486
Ru  0.500  0.500  0.258

=====

DFT (PBE) results for a relaxed Be5Ni crystal.

Computed properties:
The value obtained for the energy of formation from the pure elements is -0.14 eV/atom. For the total energy, the calculation gives -4.206 eV per atom. As for the symmetry: P4/mmm (123).

a b c (Å): 2.613 2.613 7.320
angles (deg): 90.00 90.00 90.00
Positions (direct):
Be  0.000  0.000  0.000
Be  0.000  0.000  0.332
Be  0.000  0.000  0.668
Be  0.500  0.500  0.167
Be  0.500  0.500  0.833
Ni  0.500  0.500  0.500

=====

DFT (PBE) results for a relaxed LiEuCdGe crystal.

Computed properties:
The value obtained for the energy of formation from the pure elements is -0.35 eV/atom. For the total energy, the calculation gives -4.784 eV per atom. As for the symmetry: F-43m (216).

a b c (Å): 5.053 5.053 5.053
angles (deg): 60.00 60.00 60.00
Positions (direct):
Li  0.000  0.000  0.000
Eu  0.500  0.500  0.500
Cd  0.750  0.750  0.750
Ge  0.250  0.250  0.250

=====

DFT (PBE) results for a relaxed Er2Al4Pt3Au crystal.

Computed properties:
The value obtained for the energy of formation from the pure elements is -1.01 eV/atom. For the total energy, the calculation gives -5.556 eV per atom. As for the symmetry: P-4m2 (115).

a b c (Å): 4.171 4.171 10.743
angles (deg): 90.00 90.00 90.00
Positions (direct):
Er  0.000  0.500  0.242
Er  0.500  0.000  0.758
Al  0.000  0.000  0.000
Al  0.000  0.500  0.635
Al  0.500  0.000  0.365
Al  0.500  0.500  0.000
Pt  0.000  0.500  0.864
Pt  0.500  0.000  0.136
Pt  0.500  0.500  0.500
Au  0.000  0.000  0.500

=====

DFT (PBE) results for a relaxed SbAs2W crystal.

Computed properties:
The calculation puts the uncorrected formation energy at 0.148 eV/atom. For the total energy, the calculation gives -6.446 eV per atom. As for the symmetry: R-3m (166).

a b c (Å): 9.169 9.169 9.169
angles (deg): 20.24 20.24 20.24
Positions (direct):
Sb  0.000  0.000  0.000
As  0.234  0.234  0.234
As  0.766  0.766  0.766
W  0.500  0.500  0.500

=====

DFT (PBE) results for a relaxed Pm3CdRh8 crystal.

Computed properties:
The value obtained for the energy of formation from the pure elements is -0.54 eV/atom. For the total energy, the calculation gives -6.706 eV per atom. As for the symmetry: R3m (160).

a b c (Å): 9.317 9.317 9.317
angles (deg): 33.39 33.39 33.39
Positions (direct):
Pm  0.000  0.000  0.000
Pm  0.128  0.128  0.128
Pm  0.620  0.620  0.620
Cd  0.498  0.498  0.498
Rh  0.061  0.061  0.562
Rh  0.061  0.562  0.061
Rh  0.063  0.562  0.562
Rh  0.312  0.312  0.312
Rh  0.562  0.061  0.061
Rh  0.562  0.063  0.562
Rh  0.562  0.562  0.063
Rh  0.812  0.812  0.812

=====

DFT (PBE) results for a relaxed La4SbPCl2 crystal.

Computed properties:
The calculation puts the uncorrected formation energy at -1.572 eV/atom. For the total energy, the calculation gives -5.689 eV per atom. As for the symmetry: P2/m (10).

a b c (Å): 7.373 4.344 7.688
angles (deg): 90.00 109.86 90.00
Positions (direct):
La  0.231  0.000  0.219
La  0.247  0.500  0.779
La  0.753  0.500  0.221
La  0.769  0.000  0.781
Sb  0.000  0.000  0.500
P  0.000  0.500  0.000
Cl  0.500  0.000  0.000
Cl  0.500  0.500  0.500

=====

DFT (PBE) results for a relaxed CoCuNiS3 crystal.

Computed properties:
The calculation puts the uncorrected formation energy at 0.048 eV/atom. For the total energy, the calculation gives -4.846 eV per atom. As for the symmetry: Cmcm (63).

a b c (Å): 7.115 7.115 5.080
angles (deg): 90.00 90.00 129.77
Positions (direct):
Co  0.075  0.925  0.750
Co  0.925  0.075  0.250
Cu  0.248  0.752  0.250
Cu  0.752  0.248  0.750
Ni  0.416  0.584  0.750
Ni  0.584  0.416  0.250
S  0.246  0.754  0.750
S  0.247  0.247  0.000
S  0.247  0.247  0.500
S  0.753  0.753  0.000
S  0.753  0.753  0.500
S  0.754  0.246  0.250